No. 1
Compound: LiSn2P4H3O16
Source: Alexandria via LeMat-Bulk
Functional: PBE
Structure: relaxed

Geometry as POSCAR:
```
LiSn2P4H3O16
1.0
4.9677 0.0000 0.0000
-1.8673 7.2707 0.0000
-0.2365 -0.0832 8.2059
Li Sn P H O
1 2 4 3 16
direct
0.0000 0.0000 0.0000
0.1176 0.1822 0.6527
0.6006 0.6618 0.1589
0.2446 0.9391 0.3113
0.4855 0.9009 0.8018
0.7396 0.4423 0.5047
0.9759 0.4076 0.9959
0.1285 0.6826 0.6450
0.4171 0.2457 0.2700
0.6779 0.1764 0.1238
0.0759 0.3700 0.8292
0.1699 0.9953 0.4772
0.2074 0.5135 0.1113
0.2839 0.0321 0.8298
0.3351 0.7243 0.7152
0.3796 0.1229 0.2110
0.4579 0.8228 0.3231
0.5002 0.3507 0.6160
0.5906 0.8565 0.9759
0.6073 0.4573 0.3280
0.7410 0.5084 0.9863
0.7420 0.0080 0.7128
0.8655 0.2102 0.0740
0.8990 0.6304 0.5634
0.9268 0.3046 0.4792
0.9951 0.8445 0.1972
```

E above lowest polymorph, eV per atom: 0.015

***

No. 2
Compound: Ac2PmBi
Source: Alexandria via LeMat-Bulk
Functional: PBE
Structure: relaxed

Geometry as POSCAR:
```
Ac2PmBi
1.0
4.4372 0.0000 0.0000
0.0000 4.4372 0.0000
0.0000 0.0000 7.7738
Ac Pm Bi
2 1 1
direct
0.0000 0.0000 0.2287
0.0000 0.0000 0.7713
0.5000 0.5000 0.5000
0.5000 0.5000 0.0000
```

E above lowest polymorph, eV per atom: 0.037
Formation energy, meV per atom: -336

***

No. 3
Compound: Li2MnSe
Source: Alexandria via LeMat-Bulk
Functional: PBE
Structure: relaxed

Geometry as POSCAR:
```
Li2MnSe
1.0
-3.9016 3.9016 2.4595
3.9016 -3.9016 2.4595
3.9016 3.9016 -2.4595
Li Mn Se
4 2 2
direct
0.0575 0.1250 0.4325
0.3750 0.9425 0.0675
0.6925 0.6250 0.5675
0.8750 0.3075 0.9325
0.2500 0.7500 0.5000
0.5000 0.5000 0.0000
0.0000 0.0000 0.0000
0.7500 0.2500 0.5000
```

***

Calculated magnetization in order - 0.0; 0.0; 3.1 μB/f.u.
Calculated electronic total energy in order - -169.48; -18.19; -34.48 eV for the cell shown